TbAsRhS (PBE, relaxed); uncorrected energy = -6.339 eV/atom; raw formation energy = -1.15 eV/atom
1.0
4.458 0.000 0.000
0.000 4.458 0.000
0.000 0.000 8.196
Tb As Rh S
2 2 2 2
Cartesian
1.114 1.114 1.482 Tb
3.343 3.343 6.713 Tb
1.114 1.114 5.247 As
3.343 3.343 2.949 As
1.114 3.343 4.098 Rh
3.343 1.114 4.098 Rh
1.114 3.343 0.000 S
3.343 1.114 0.000 S


MgZn2Bi2 (PBE, relaxed); formation energy = 0.086 eV per atom; uncorrected energy = -2.294 eV/atom
1.0
4.006 0.000 0.000
0.000 4.006 0.000
0.000 0.000 15.766
Mg Zn Bi
2 4 4
Cartesian
0.000 0.000 0.000 Mg
2.003 2.003 7.883 Mg
0.000 2.003 3.941 Zn
0.000 2.003 11.824 Zn
2.003 0.000 3.941 Zn
2.003 0.000 11.824 Zn
0.000 0.000 6.081 Bi
0.000 0.000 9.685 Bi
2.003 2.003 1.802 Bi
2.003 2.003 13.963 Bi


InAg2Pt2 (PBE, relaxed); formation energy = 0.087 eV per atom; uncorrected energy = -4.017 eV/atom
1.0
7.969 0.000 0.000
0.000 7.969 0.000
0.000 0.000 2.926
In Ag Pt
2 4 4
Cartesian
0.000 0.000 0.000 In
3.985 3.985 0.000 In
0.980 3.005 0.000 Ag
3.005 6.989 0.000 Ag
4.965 0.980 0.000 Ag
6.989 4.965 0.000 Ag
1.391 5.375 1.463 Pt
2.594 1.391 1.463 Pt
5.375 6.578 1.463 Pt
6.578 2.594 1.463 Pt


CoSi2Au (PBE, relaxed); uncorrected energy = -5.252 eV/atom; raw formation energy = 0.05 eV/atom
1.0
2.731 0.000 0.000
0.000 2.731 0.000
0.000 0.000 7.644
Co Si Au
1 2 1
Cartesian
0.000 0.000 0.000 Co
1.366 1.366 1.465 Si
1.366 1.366 6.180 Si
0.000 0.000 3.822 Au


Hf6In2Hg (PBE, relaxed); formation energy = 0.430 eV per atom; uncorrected energy = -6.847 eV/atom
1.0
7.494 -3.343 0.000
7.494 3.343 0.000
-1.486 0.000 4.503
Hf In Hg
6 2 1
Cartesian
4.508 1.679 1.507 Hf
7.494 1.684 0.000 Hf
8.995 1.679 2.995 Hf
4.508 -1.679 1.507 Hf
7.494 -1.684 0.000 Hf
8.995 -1.679 2.995 Hf
3.761 0.000 3.758 In
9.741 0.000 0.745 In
-0.743 0.000 2.251 Hg


NdAl4Ag2Pd (PBE, relaxed); formation energy = -0.397 eV per atom; uncorrected energy = -4.226 eV/atom
1.0
2.203 1.272 8.956
-2.203 1.272 8.956
0.000 -2.543 8.956
Nd Al Ag Pd
1 4 2 1
Cartesian
0.000 0.000 0.000 Nd
0.000 0.000 3.559 Al
0.000 0.000 10.834 Al
0.000 0.000 16.036 Al
0.000 0.000 23.310 Al
0.000 0.000 6.507 Ag
0.000 0.000 20.362 Ag
0.000 0.000 13.435 Pd


Co4HgRu (PBE, relaxed); formation energy = 0.298 eV per atom; uncorrected energy = -6.036 eV/atom
1.0
0.000 3.400 3.400
3.400 0.000 3.400
3.400 3.400 0.000
Co Hg Ru
4 1 1
Cartesian
0.848 0.848 0.848 Co
2.552 2.552 0.848 Co
2.552 0.848 2.552 Co
0.848 2.552 2.552 Co
3.400 3.400 3.400 Hg
5.100 5.100 5.100 Ru


CaHfSe2 (PBE, relaxed); uncorrected energy = -5.761 eV/atom; raw formation energy = -1.03 eV/atom
1.0
6.949 0.000 0.000
0.000 6.949 0.000
0.000 0.000 6.949
Ca Hf Se
4 4 8
Cartesian
0.000 0.000 0.000 Ca
0.000 3.475 3.475 Ca
3.475 0.000 3.475 Ca
3.475 3.475 0.000 Ca
0.000 0.000 3.475 Hf
0.000 3.475 0.000 Hf
3.475 0.000 0.000 Hf
3.475 3.475 3.475 Hf
1.737 1.737 1.737 Se
1.737 1.737 5.212 Se
1.737 5.212 1.737 Se
1.737 5.212 5.212 Se
5.212 1.737 1.737 Se
5.212 1.737 5.212 Se
5.212 5.212 1.737 Se
5.212 5.212 5.212 Se